Ta3Hg2: optimized geometry, GGA-PBE.

extended XYZ file:
```
5
Lattice="1.500 0.866 12.465 -1.500 0.866 12.465 0.000 -1.732 12.465" Properties=species:S:1:pos:R:3 pbc="T T T"
Ta 0.000 0.000 0.000
Ta 0.000 0.000 7.470
Ta 0.000 0.000 29.924
Hg 0.000 0.000 14.966
Hg 0.000 0.000 22.428
```

**Energy above the lowest structure with this stoichiometry**: 0.000 eV per atom
**E_tot**: -6.853 eV/atom
**Energy of formation from the pure elements**: 380 meV per atom

***

Ta5Hg3: optimized geometry, GGA-PBE.

extended XYZ file:
```
8
Lattice="4.162 -4.390 0.000 4.162 4.390 0.000 0.000 0.000 4.138" Properties=species:S:1:pos:R:3 pbc="T T T"
Ta 0.000 0.000 0.000
Ta 2.081 2.195 0.000
Ta 4.162 2.247 2.069
Ta 2.081 -2.195 0.000
Ta 4.162 -2.247 2.069
Hg 2.054 0.000 2.069
Hg 4.162 0.000 0.000
Hg 6.269 0.000 2.069
```

**Energy above the lowest structure with this stoichiometry**: 0.000 eV per atom
**E_tot**: -7.180 eV/atom
**Energy of formation from the pure elements**: 341 meV per atom

***

TaHg3: optimized geometry, GGA-PBE.

extended XYZ file:
```
8
Lattice="5.606 0.000 0.000 0.000 5.606 0.000 0.000 0.000 5.606" Properties=species:S:1:pos:R:3 pbc="T T T"
Ta 0.000 0.000 0.000
Ta 2.803 2.803 2.803
Hg 0.000 1.402 2.803
Hg 0.000 4.205 2.803
Hg 1.402 2.803 0.000
Hg 2.803 0.000 1.402
Hg 2.803 0.000 4.205
Hg 4.205 2.803 0.000
```

**E_tot**: -2.410 eV/atom
**Energy of formation from the pure elements**: 780 meV per atom

***

TaHg3: optimized geometry, GGA-PBE.

extended XYZ file:
```
4
Lattice="3.005 0.000 0.000 0.000 4.431 0.000 0.000 0.000 6.346" Properties=species:S:1:pos:R:3 pbc="T T T"
Ta 0.000 0.000 0.000
Hg 0.000 0.000 3.173
Hg 1.502 2.216 1.476
Hg 1.502 2.216 4.870
```

**E_tot**: -2.695 eV/atom
**Energy of formation from the pure elements**: 494 meV per atom

***

TaHg3: optimized geometry, GGA-PBE.

extended XYZ file:
```
4
Lattice="0.000 3.484 3.484 3.484 0.000 3.484 3.484 3.484 0.000" Properties=species:S:1:pos:R:3 pbc="T T T"
Ta 0.000 0.000 0.000
Hg 1.742 1.742 1.742
Hg 3.484 3.484 3.484
Hg 5.227 5.227 5.227
```

**E_tot**: -2.447 eV/atom
**Energy of formation from the pure elements**: 742 meV per atom

***

Ta5Hg: optimized geometry, GGA-PBE.

extended XYZ file:
```
6
Lattice="2.836 0.000 0.000 0.000 2.836 0.000 0.000 0.000 14.049" Properties=species:S:1:pos:R:3 pbc="T T T"
Ta 0.000 0.000 0.000
Ta 0.000 0.000 4.655
Ta 0.000 0.000 9.394
Ta 1.418 1.418 2.363
Ta 1.418 1.418 11.686
Hg 1.418 1.418 7.025
```

**Energy above the lowest structure with this stoichiometry**: 0.072 eV per atom
**E_tot**: -9.705 eV/atom
**Energy of formation from the pure elements**: 222 meV per atom

***

TaHg3: optimized geometry, GGA-PBE.

extended XYZ file:
```
4
Lattice="6.566 -1.497 0.000 6.566 1.497 0.000 -1.971 0.000 4.698" Properties=species:S:1:pos:R:3 pbc="T T T"
Ta 0.000 0.000 0.000
Hg 2.306 0.000 3.733
Hg 5.581 0.000 2.349
Hg 8.856 0.000 0.965
```

**E_tot**: -2.744 eV/atom
**Energy of formation from the pure elements**: 446 meV per atom

***

TaHg3: optimized geometry, GGA-PBE.

extended XYZ file:
```
4
Lattice="3.070 0.000 0.000 0.000 4.865 0.000 -0.372 0.000 5.671" Properties=species:S:1:pos:R:3 pbc="T T T"
Ta 0.000 0.000 0.000
Hg 0.543 2.432 4.333
Hg 1.349 0.000 2.835
Hg 2.155 2.432 1.338
```

**E_tot**: -2.695 eV/atom
**Energy of formation from the pure elements**: 495 meV per atom

***

Ta5Hg: optimized geometry, GGA-PBE.

extended XYZ file:
```
6
Lattice="5.001 0.000 0.000 0.000 1.394 8.103 0.000 -1.394 8.103" Properties=species:S:1:pos:R:3 pbc="T T T"
Ta 0.000 0.000 0.000
Ta 0.000 0.000 5.365
Ta 0.000 0.000 10.771
Ta 2.500 0.000 3.814
Ta 2.500 0.000 9.245
Hg 2.500 0.000 14.604
```

**Energy above the lowest structure with this stoichiometry**: 0.148 eV per atom
**E_tot**: -9.629 eV/atom
**Energy of formation from the pure elements**: 298 meV per atom

***

Ta3Hg: optimized geometry, GGA-PBE.

extended XYZ file:
```
8
Lattice="3.174 -4.895 0.000 3.174 4.895 0.000 0.000 0.000 4.802" Properties=species:S:1:pos:R:3 pbc="T T T"
Ta 3.174 3.597 3.601
Ta 1.595 0.982 3.601
Ta 1.595 -0.982 1.200
Ta 4.753 0.982 3.601
Ta 4.753 -0.982 1.200
Ta 3.174 -3.597 1.200
Hg 3.174 1.533 1.200
Hg 3.174 -1.533 3.601
```

**E_tot**: -8.734 eV/atom
**Energy of formation from the pure elements**: 230 meV per atom

***

Ta5Hg: optimized geometry, GGA-PBE.

extended XYZ file:
```
6
Lattice="0.000 3.872 3.872 3.872 0.000 3.872 3.872 3.872 0.000" Properties=species:S:1:pos:R:3 pbc="T T T"
Ta 0.000 0.000 0.000
Ta 4.856 2.888 2.888
Ta 2.888 4.856 2.888
Ta 2.888 2.888 4.856
Ta 4.856 4.856 4.856
Hg 1.936 1.936 1.936
```

**Energy above the lowest structure with this stoichiometry**: 0.250 eV per atom
**E_tot**: -9.527 eV/atom
**Energy of formation from the pure elements**: 400 meV per atom

***

Ta3Hg: optimized geometry, GGA-PBE.

extended XYZ file:
```
4
Lattice="4.476 0.000 0.000 0.000 4.476 0.000 0.000 0.000 3.702" Properties=species:S:1:pos:R:3 pbc="T T T"
Ta 0.000 0.000 0.000
Ta 0.000 2.238 1.851
Ta 2.238 0.000 1.851
Hg 2.238 2.238 0.000
```

**E_tot**: -8.720 eV/atom
**Energy of formation from the pure elements**: 245 meV per atom